1.
The following is a DFT calculation (GGA-PBE) of an optimized crystal structure of CaDyTm2As4.

Cell: 7.1400 4.1017 7.1558 Å, 90.00 109.24 90.00°
Fractional coordinates of all 8 atoms:
Ca (0.0000, 0.0000, 0.0000)
Dy (0.5000, 0.5000, 0.0000)
Tm (0.0000, 0.5000, 0.5000)
Tm (0.5000, 0.0000, 0.5000)
As (0.2514, 0.0000, 0.7436)
As (0.2578, 0.5000, 0.2603)
As (0.7422, 0.5000, 0.7397)
As (0.7486, 0.0000, 0.2564)

Results
ΔE_f ... -131.03 kJ/mol of atoms
SG ... P2/m

2.
The following is a DFT calculation (GGA-PBE) of an optimized crystal structure of Ca4DyU3As8.

Cell: 8.3684 8.3684 8.3684 Å, 59.67 59.67 59.67°
Fractional coordinates of all 16 atoms:
Ca (0.0000, 0.0000, 0.0000)
Ca (0.0000, 0.5000, 0.5000)
Ca (0.5000, 0.0000, 0.5000)
Ca (0.5000, 0.5000, 0.0000)
Dy (0.5000, 0.5000, 0.5000)
U (0.0000, 0.0000, 0.5000)
U (0.0000, 0.5000, 0.0000)
U (0.5000, 0.0000, 0.0000)
As (0.2377, 0.7465, 0.7465)
As (0.2435, 0.2435, 0.2435)
As (0.2535, 0.2535, 0.7623)
As (0.2535, 0.7623, 0.2535)
As (0.7465, 0.2377, 0.7465)
As (0.7465, 0.7465, 0.2377)
As (0.7565, 0.7565, 0.7565)
As (0.7623, 0.2535, 0.2535)

Results
ΔE_f ... -102.83 kJ/mol of atoms
SG ... R-3m

Question: Among the records above, which one has the lowest ΔE_f?
Answer: CaDyTm2As4

Question: The highest ΔE_f belongs to which entry?
Answer: Ca4DyU3As8

Question: The highest ΔE_f belongs to which entry?
Answer: Ca4DyU3As8